Entry 1:
A geometry-optimized TaBeCuPt structure. Source: OQMD via LeMat-Bulk, functional GGA-PBE.

Cell lengths 4.218, 4.218, 4.218 Å; angles 60.00, 60.00, 60.00 degrees
Fractional coordinates of all 4 atoms:
Ta (0.000, 0.000, 0.000)
Be (0.750, 0.750, 0.750)
Cu (0.250, 0.250, 0.250)
Pt (0.500, 0.500, 0.500)

Computed properties:
Theoretical density ... 14.0 g cm⁻³
Uncorrected energy ... -6.537 eV per atom
Crystal system ... cubic


Entry 2:
A geometry-optimized PuBeCu structure. Source: OQMD via LeMat-Bulk, functional GGA-PBE.

Cell lengths 4.249, 4.249, 4.249 Å; angles 60.00, 60.00, 60.00 degrees
Fractional coordinates of all 3 atoms:
Pu (0.000, 0.000, 0.000)
Be (0.500, 0.500, 0.500)
Cu (0.750, 0.750, 0.750)

Computed properties:
Theoretical density ... 9.7 g cm⁻³
Uncorrected energy ... -6.618 eV per atom
Crystal system ... cubic


Entry 3:
A geometry-optimized RbBeCu structure. Source: OQMD via LeMat-Bulk, functional GGA-PBE.

Cell lengths 4.982, 4.982, 4.982 Å; angles 60.00, 60.00, 60.00 degrees
Fractional coordinates of all 3 atoms:
Rb (0.000, 0.000, 0.000)
Be (0.750, 0.750, 0.750)
Cu (0.500, 0.500, 0.500)

Computed properties:
Theoretical density ... 3.0 g cm⁻³
Uncorrected energy ... -1.629 eV per atom
Crystal system ... cubic


Entry 4:
A geometry-optimized RbBeCu structure. Source: OQMD via LeMat-Bulk, functional GGA-PBE.

Cell lengths 4.957, 4.957, 4.957 Å; angles 60.00, 60.00, 60.00 degrees
Fractional coordinates of all 3 atoms:
Rb (0.000, 0.000, 0.000)
Be (0.500, 0.500, 0.500)
Cu (0.750, 0.750, 0.750)

Computed properties:
Theoretical density ... 3.0 g cm⁻³
Uncorrected energy ... -1.648 eV per atom
Crystal system ... cubic


Entry 5:
A geometry-optimized BeCuRe structure. Source: OQMD via LeMat-Bulk, functional GGA-PBE.

Cell lengths 3.732, 3.732, 3.732 Å; angles 60.00, 60.00, 60.00 degrees
Fractional coordinates of all 3 atoms:
Be (0.000, 0.000, 0.000)
Cu (0.750, 0.750, 0.750)
Re (0.250, 0.250, 0.250)

Computed properties:
Theoretical density ... 11.7 g cm⁻³
Uncorrected energy ... -5.948 eV per atom
Crystal system ... cubic


Entry 6:
A geometry-optimized Be2CuRe structure. Source: OQMD via LeMat-Bulk, functional GGA-PBE.

Cell lengths 3.992, 3.992, 3.992 Å; angles 60.00, 60.00, 60.00 degrees
Fractional coordinates of all 4 atoms:
Be (0.000, 0.000, 0.000)
Be (0.250, 0.250, 0.250)
Cu (0.750, 0.750, 0.750)
Re (0.500, 0.500, 0.500)

Computed properties:
Theoretical density ... 9.9 g cm⁻³
Uncorrected energy ... -5.494 eV per atom
Crystal system ... cubic


Entry 7:
A geometry-optimized Be3Cu2Re2 structure. Source: OQMD via LeMat-Bulk, functional GGA-PBE.

Cell lengths 6.465, 6.465, 6.465 Å; angles 34.88, 34.88, 34.88 degrees
Fractional coordinates of all 7 atoms:
Be (0.000, 0.000, 0.000)
Be (0.253, 0.253, 0.253)
Be (0.510, 0.510, 0.510)
Cu (0.385, 0.385, 0.385)
Cu (0.878, 0.878, 0.878)
Re (0.122, 0.122, 0.122)
Re (0.641, 0.641, 0.641)

Computed properties:
Theoretical density ... 11.1 g cm⁻³
Uncorrected energy ... -5.833 eV per atom
Crystal system ... trigonal


Entry 8:
A geometry-optimized BeCuRe2 structure. Source: OQMD via LeMat-Bulk, functional GGA-PBE.

Cell lengths 4.176, 4.176, 4.176 Å; angles 60.00, 60.00, 60.00 degrees
Fractional coordinates of all 4 atoms:
Be (0.000, 0.000, 0.000)
Cu (0.250, 0.250, 0.250)
Re (0.500, 0.500, 0.500)
Re (0.750, 0.750, 0.750)

Computed properties:
Theoretical density ... 14.3 g cm⁻³
Uncorrected energy ... -7.887 eV per atom
Crystal system ... cubic